# 1
{
  "formula": "TcPdCl2",
  "functional": "PBE-GGA",
  "state": "relaxed",
  "cell": [[-2.265, 2.309, -4.794], [-5.315, -0.749, 2.151], [-3.583, 5.330, 0.772]],
  "species": ["Tc", "Tc", "Pd", "Pd", "Cl", "Cl", "Cl", "Cl"],
  "frac_coords": [[0.500, 0.500, 0.000], [0.250, 0.750, 0.500], [0.000, 0.000, 0.000], [0.750, 0.250, 0.500], [0.598, 0.125, 0.250], [0.152, 0.625, 0.250], [0.375, 0.402, 0.750], [0.875, 0.848, 0.750]],
  "raw_formation_energy_ev_per_atom": 0.507,
  "volume_a3_per_atom": 20.949,
  "e_above_lowest_polymorph_ev_per_atom": 0.3063,
  "m_tot_mub_per_cell": 0.00,
  "e_tot_ev_per_atom": -4.306
}

# 2
{
  "formula": "CsPa4Ni3Se12",
  "functional": "PBE-GGA",
  "state": "relaxed",
  "cell": [[-2.995, -7.007, 4.451], [1.043, -2.139, -8.498], [7.754, 2.531, 3.370]],
  "species": ["Cs", "Pa", "Pa", "Pa", "Pa", "Ni", "Ni", "Ni", "Se", "Se", "Se", "Se", "Se", "Se", "Se", "Se", "Se", "Se", "Se", "Se"],
  "frac_coords": [[0.000, 0.000, 0.000], [0.500, 0.000, 0.000], [0.500, 0.500, 0.500], [0.000, 0.500, 0.000], [0.000, 0.000, 0.500], [0.000, 0.500, 0.500], [0.500, 0.500, 0.000], [0.500, 0.000, 0.500], [0.327, 0.835, 0.162], [0.673, 0.165, 0.838], [0.673, 0.835, 0.509], [0.838, 0.673, 0.165], [0.835, 0.162, 0.327], [0.165, 0.491, 0.327], [0.491, 0.327, 0.165], [0.165, 0.838, 0.673], [0.327, 0.165, 0.491], [0.162, 0.327, 0.835], [0.835, 0.509, 0.673], [0.509, 0.673, 0.835]],
  "raw_formation_energy_ev_per_atom": -0.890,
  "volume_a3_per_atom": 26.455,
  "m_tot_mub_per_cell": 2.43,
  "e_tot_ev_per_atom": -5.790
}

# 3
{
  "formula": "Ac2Zn15Hg2",
  "functional": "PBE-GGA",
  "state": "relaxed",
  "cell": [[7.095, -0.022, -0.020], [0.899, 7.038, -0.020], [0.899, 0.789, 6.994]],
  "species": ["Ac", "Ac", "Zn", "Zn", "Zn", "Zn", "Zn", "Zn", "Zn", "Zn", "Zn", "Zn", "Zn", "Zn", "Zn", "Zn", "Zn", "Hg", "Hg"],
  "frac_coords": [[0.341, 0.341, 0.341], [0.659, 0.659, 0.659], [0.500, 0.000, 0.000], [0.000, 0.000, 0.500], [0.000, 0.500, 0.000], [0.000, 0.707, 0.293], [0.707, 0.293, 0.000], [0.293, 0.000, 0.707], [0.293, 0.707, 0.000], [0.707, 0.000, 0.293], [0.000, 0.293, 0.707], [0.167, 0.651, 0.651], [0.651, 0.651, 0.167], [0.651, 0.167, 0.651], [0.833, 0.349, 0.349], [0.349, 0.349, 0.833], [0.349, 0.833, 0.349], [0.106, 0.106, 0.106], [0.894, 0.894, 0.894]],
  "volume_a3_per_atom": 18.402,
  "m_tot_mub_per_cell": 0.00,
  "e_tot_ev_per_atom": -1.670
}

# 4
{
  "formula": "Zr2ZnRhN",
  "functional": "PBE-GGA",
  "state": "relaxed",
  "cell": [[-2.825, 1.670, 3.030], [-2.745, -2.598, -1.127], [1.519, -2.917, 3.023]],
  "species": ["Zn", "Rh", "Zr", "Zr", "N"],
  "frac_coords": [[0.000, 0.500, 0.000], [0.500, 0.500, 0.500], [0.000, 0.000, 0.500], [0.500, 0.000, 0.000], [0.000, 0.000, 0.000]],
  "raw_formation_energy_ev_per_atom": -0.688,
  "volume_a3_per_atom": 15.737,
  "m_tot_mub_per_cell": 0.00,
  "e_tot_ev_per_atom": -7.497
}

# 5
{
  "formula": "Ho3As2S2",
  "functional": "PBE-GGA",
  "state": "relaxed",
  "cell": [[4.011, 0.000, 0.000], [0.000, 7.124, -0.691], [-2.006, -2.974, 6.899]],
  "species": ["Ho", "Ho", "Ho", "As", "As", "S", "S"],
  "frac_coords": [[0.000, 0.500, 0.000], [0.278, 0.760, 0.556], [0.722, 0.240, 0.444], [0.636, 0.782, 0.272], [0.364, 0.218, 0.728], [0.869, 0.669, 0.738], [0.131, 0.331, 0.262]],
  "raw_formation_energy_ev_per_atom": -1.496,
  "volume_a3_per_atom": 26.984,
  "m_tot_mub_per_cell": 0.00,
  "e_tot_ev_per_atom": -5.966
}

# 6
{
  "formula": "CdBi2Te2",
  "functional": "PBE-GGA",
  "state": "relaxed",
  "cell": [[8.742, 0.000, 0.000], [0.000, 8.742, 0.000], [0.000, 0.000, 4.306]],
  "species": ["Te", "Te", "Te", "Te", "Bi", "Bi", "Bi", "Bi", "Cd", "Cd"],
  "frac_coords": [[0.148, 0.648, 0.500], [0.648, 0.852, 0.500], [0.852, 0.352, 0.500], [0.352, 0.148, 0.500], [0.321, 0.821, 0.000], [0.821, 0.679, 0.000], [0.679, 0.179, 0.000], [0.179, 0.321, 0.000], [0.000, 0.000, 0.000], [0.500, 0.500, 0.000]],
  "raw_formation_energy_ev_per_atom": 0.011,
  "volume_a3_per_atom": 32.907,
  "e_above_lowest_polymorph_ev_per_atom": 0.0000,
  "m_tot_mub_per_cell": 0.00,
  "e_tot_ev_per_atom": -2.981
}